No. 1
DFT (PBE) results for crystalline GaSn5 at its relaxed geometry.

## Properties
space group = No. 65
DFT formation energy = 0.085 eV per atom
N(E_F) = 0.448 states/eV/atom
E_tot = -22.53 eV for the cell shown
ρ = 6.77 g/cm3

The structure in POSCAR format:
```
GaSn5
1.0
1.8468 -9.0097 0.0000
1.8468 9.0097 0.0000
0.0000 0.0000 4.8889
Ga Sn
1 5
Direct
0.0000 0.0000 0.0000 Ga
0.1796 0.8204 0.5000 Sn
0.3676 0.6324 0.0000 Sn
0.5000 0.5000 0.5000 Sn
0.6324 0.3676 0.0000 Sn
0.8204 0.1796 0.5000 Sn
```

No. 2
DFT (PBE) results for crystalline GaSn2 at its relaxed geometry.

## Properties
space group = No. 227
DFT formation energy = 0.204 eV per atom
N(E_F) = 0.471 states/eV/atom
E_tot = -20.84 eV for the cell shown
ρ = 6.07 g/cm3

The structure in POSCAR format:
```
GaSn2
1.0
0.0000 4.3807 4.3807
4.3807 0.0000 4.3807
4.3807 4.3807 0.0000
Ga Sn
2 4
Direct
0.1250 0.1250 0.1250 Ga
0.8750 0.8750 0.8750 Ga
0.0000 0.5000 0.5000 Sn
0.5000 0.0000 0.5000 Sn
0.5000 0.5000 0.0000 Sn
0.5000 0.5000 0.5000 Sn
```

No. 3
DFT (PBE) results for crystalline Ga4Sn at its relaxed geometry.

## Properties
space group = No. 69
DFT formation energy = 0.049 eV per atom
N(E_F) = 0.257 states/eV/atom
E_tot = -15.86 eV for the cell shown
ρ = 6.26 g/cm3

The structure in POSCAR format:
```
Ga4Sn
1.0
0.0000 3.0468 5.7221
3.0224 0.0000 5.7221
3.0224 3.0468 0.0000
Ga Sn
4 1
Direct
0.1089 0.1089 0.8911 Ga
0.2500 0.2500 0.2500 Ga
0.7500 0.7500 0.7500 Ga
0.8911 0.8911 0.1089 Ga
0.5000 0.5000 0.5000 Sn
```

No. 4
DFT (PBE) results for crystalline Ga3Sn2 at its relaxed geometry.

## Properties
space group = No. 64
DFT formation energy = 0.100 eV per atom
N(E_F) = 0.536 states/eV/atom
E_tot = -33.18 eV for the cell shown
ρ = 6.31 g/cm3

The structure in POSCAR format:
```
Ga3Sn2
1.0
2.7797 -4.6439 0.0000
2.7797 4.6439 0.0000
0.0000 0.0000 9.1037
Ga Sn
6 4
Direct
0.0000 0.0000 0.0000 Ga
0.1559 0.3441 0.2500 Ga
0.3441 0.1559 0.7500 Ga
0.5000 0.5000 0.5000 Ga
0.6559 0.8441 0.2500 Ga
0.8441 0.6559 0.7500 Ga
0.1645 0.8355 0.4231 Sn
0.3355 0.6645 0.9231 Sn
0.6645 0.3355 0.0769 Sn
0.8355 0.1645 0.5769 Sn
```

No. 5
DFT (PBE) results for crystalline Ga2Sn7 at its relaxed geometry.

## Properties
space group = No. 162
DFT formation energy = 0.097 eV per atom
N(E_F) = 0.483 states/eV/atom
E_tot = -33.20 eV for the cell shown
ρ = 6.63 g/cm3

The structure in POSCAR format:
```
Ga2Sn7
1.0
6.8757 0.0000 0.0000
-3.4379 5.9546 0.0000
0.0000 0.0000 5.9372
Ga Sn
2 7
Direct
0.3333 0.6667 0.0000 Ga
0.6667 0.3333 0.0000 Ga
0.0000 0.0000 0.0000 Sn
0.0000 0.3453 0.6808 Sn
0.0000 0.6547 0.3192 Sn
0.3453 0.0000 0.6808 Sn
0.3453 0.3453 0.3192 Sn
0.6547 0.0000 0.3192 Sn
0.6547 0.6547 0.6808 Sn
```

No. 6
DFT (PBE) results for crystalline GaSn4 at its relaxed geometry.

## Properties
space group = No. 221
DFT formation energy = 0.372 eV per atom
N(E_F) = 0.475 states/eV/atom
E_tot = -17.18 eV for the cell shown
ρ = 6.02 g/cm3

The structure in POSCAR format:
```
GaSn4
1.0
5.3166 0.0000 0.0000
0.0000 5.3166 0.0000
0.0000 0.0000 5.3166
Ga Sn
1 4
Direct
0.0000 0.0000 0.0000 Ga
0.0000 0.0000 0.5000 Sn
0.0000 0.5000 0.0000 Sn
0.5000 0.0000 0.0000 Sn
0.5000 0.5000 0.5000 Sn
```

No. 7
DFT (PBE) results for crystalline Sr2Ga2Sn3 at its relaxed geometry.

## Properties
space group = No. 63
DFT formation energy = -0.416 eV per atom
N(E_F) = 0.428 states/eV/atom
E_tot = -48.68 eV for the cell shown
ρ = 5.47 g/cm3

The structure in POSCAR format:
```
Sr2Ga2Sn3
1.0
2.5443 -10.6685 0.0000
2.5443 10.6685 0.0000
0.0000 0.0000 7.5037
Sr Ga Sn
4 4 6
Direct
0.0427 0.9573 0.7500 Sr
0.1600 0.8400 0.2500 Sr
0.8400 0.1600 0.7500 Sr
0.9573 0.0427 0.2500 Sr
0.3029 0.6971 0.0499 Ga
0.3029 0.6971 0.4501 Ga
0.6971 0.3029 0.5499 Ga
0.6971 0.3029 0.9501 Ga
0.2121 0.7879 0.7500 Sn
0.4319 0.5681 0.5563 Sn
0.4319 0.5681 0.9437 Sn
0.5681 0.4319 0.0563 Sn
0.5681 0.4319 0.4437 Sn
0.7879 0.2121 0.2500 Sn
```

No. 8
DFT (PBE) results for crystalline SrGaSn2 at its relaxed geometry.

## Properties
space group = No. 15
DFT formation energy = -0.386 eV per atom
N(E_F) = 0.459 states/eV/atom
E_tot = -28.52 eV for the cell shown
ρ = 5.80 g/cm3

The structure in POSCAR format:
```
SrGaSn2
1.0
3.1298 -6.4416 0.0000
3.1298 6.4416 0.0000
-2.8386 0.0000 5.6017
Sr Ga Sn
2 2 4
Direct
0.1387 0.8613 0.7500 Sr
0.8613 0.1387 0.2500 Sr
0.2649 0.7351 0.2500 Ga
0.7351 0.2649 0.7500 Ga
0.2352 0.4289 0.8668 Sn
0.4289 0.2352 0.3668 Sn
0.5711 0.7648 0.6332 Sn
0.7648 0.5711 0.1332 Sn
```

No. 9
DFT (PBE) results for crystalline Sr2GaSn2 at its relaxed geometry.

## Properties
space group = No. 127
DFT formation energy = -0.472 eV per atom
N(E_F) = 0.697 states/eV/atom
E_tot = -33.51 eV for the cell shown
ρ = 5.13 g/cm3

The structure in POSCAR format:
```
Sr2GaSn2
1.0
7.8250 0.0000 0.0000
0.0000 7.8250 0.0000
0.0000 0.0000 5.1051
Sr Ga Sn
4 2 4
Direct
0.1702 0.3298 0.0000 Sr
0.3298 0.8298 0.0000 Sr
0.6702 0.1702 0.0000 Sr
0.8298 0.6702 0.0000 Sr
0.0000 0.0000 0.5000 Ga
0.5000 0.5000 0.5000 Ga
0.1359 0.6359 0.5000 Sn
0.3641 0.1359 0.5000 Sn
0.6359 0.8641 0.5000 Sn
0.8641 0.3641 0.5000 Sn
```

No. 10
DFT (PBE) results for crystalline SrGa4Sn at its relaxed geometry.

## Properties
space group = No. 216
DFT formation energy = -0.191 eV per atom
N(E_F) = 0.394 states/eV/atom
E_tot = -18.94 eV for the cell shown
ρ = 5.83 g/cm3

The structure in POSCAR format:
```
SrGa4Sn
1.0
0.0000 4.1024 4.1024
4.1024 0.0000 4.1024
4.1024 4.1024 0.0000
Sr Ga Sn
1 4 1
Direct
0.0000 0.0000 0.0000 Sr
0.1267 0.6244 0.6244 Ga
0.6244 0.1267 0.6244 Ga
0.6244 0.6244 0.1267 Ga
0.6244 0.6244 0.6244 Ga
0.2500 0.2500 0.2500 Sn
```

No. 11
DFT (PBE) results for crystalline SrGaSn2 at its relaxed geometry.

## Properties
space group = No. 8
DFT formation energy = -0.323 eV per atom
N(E_F) = 0.428 states/eV/atom
E_tot = -14.01 eV for the cell shown
ρ = 5.55 g/cm3

The structure in POSCAR format:
```
SrGaSn2
1.0
5.9047 -2.1888 0.0000
5.9047 2.1888 0.0000
-1.4011 0.0000 4.5660
Sr Ga Sn
1 1 2
Direct
0.0000 0.0000 0.0000 Sr
0.7467 0.7467 0.1455 Ga
0.3186 0.3186 0.5058 Sn
0.6130 0.6130 0.5679 Sn
```

No. 12
DFT (PBE) results for crystalline SrGaSn3 at its relaxed geometry.

## Properties
space group = No. 221
DFT formation energy = 0.843 eV per atom
N(E_F) = 0.960 states/eV/atom
E_tot = -12.50 eV for the cell shown
ρ = 3.91 g/cm3

The structure in POSCAR format:
```
SrGaSn3
1.0
6.0205 0.0000 0.0000
0.0000 6.0205 0.0000
0.0000 0.0000 6.0205
Sr Ga Sn
1 1 3
Direct
0.0000 0.0000 0.0000 Sr
0.5000 0.5000 0.5000 Ga
0.0000 0.0000 0.5000 Sn
0.0000 0.5000 0.0000 Sn
0.5000 0.0000 0.0000 Sn
```